No. 1
Here is crystalline Tb6PmNd2Ho3 at its relaxed geometry from the Alexandria database. Energies are from PBE.

The space group is C2/m (No. 12) and the conventional cell measures 6.2022, 10.7372 and 11.8559 Å, with angles of 90.00, 100.00 and 90.00 degrees. Symmetry generates all atoms from Tb at (0.2479, 0.0000, 0.2459), Tb at (0.2482, 0.3334, 0.2461), Pm at (0.0000, 0.0000, 0.5000), Nd at (0.0000, 0.3335, 0.5000), Ho at (0.0000, 0.1666, 0.0000) and Ho at (0.0000, 0.5000, 0.0000).

Its raw total energy is -111.208 eV/cell. The value obtained for the formation enthalpy at 0 K is 0.02 eV per atom.

---

No. 2
Here is crystalline Y4Tl2In at its relaxed geometry from the Alexandria database. Energies are from PBE.

The space group is R-3m (No. 166, hexagonal axes) and the conventional cell measures 5.2709, 5.2709 and 25.9502 Å, with angles of 90.00, 90.00 and 120.00 degrees. Symmetry generates all atoms from Y at (0.0000, 0.0000, 0.1215), Y at (0.0000, 0.0000, 0.3735), Tl at (0.0000, 0.0000, 0.2537) and In at (0.0000, 0.0000, 0.5000).

Its raw total energy is -105.697 eV/cell. The value obtained for the formation enthalpy at 0 K is -0.27 eV per atom. The value obtained for the relative energy among the computed polymorphs is 0.089 eV per atom.

---

No. 3
Here is crystalline Sm2Y8Ho at its relaxed geometry from the Alexandria database. Energies are from PBE.

The space group is C2/m (No. 12) and the conventional cell measures 9.0602, 16.0662 and 5.9054 Å, with angles of 90.00, 122.29 and 90.00 degrees. Symmetry generates all atoms from Sm at (0.0000, 0.1936, 0.0000), Y at (0.0000, 0.2923, 0.5000), Y at (0.0769, 0.0000, 0.2964), Y at (0.2138, 0.3844, 0.1682) and Ho at (0.0000, 0.5000, 0.5000).

Its raw total energy is -127.977 eV/cell. The value obtained for the formation enthalpy at 0 K is 0.16 eV per atom.

---

No. 4
Here is crystalline Rb3Ta2O5F2 at its relaxed geometry from the Alexandria database. Energies are from PBE.

The space group is I4/mmm (No. 139) and the conventional cell measures 4.0558, 4.0558 and 22.8693 Å, with angles of 90.00, 90.00 and 90.00 degrees. Symmetry generates all atoms from Rb at (0.0000, 0.0000, 0.0000), Rb at (0.0000, 0.0000, 0.1856), Ta at (0.0000, 0.0000, 0.4132), O at (0.0000, 0.0000, 0.5000), O at (0.0000, 0.5000, 0.0920) and F at (0.0000, 0.0000, 0.3173).

Its raw total energy is -173.184 eV/cell.

---

- Which of these has the lowest raw total energy?
  Rb3Ta2O5F2

---

- What is the formula in the third record?
  Sm2Y8Ho

---

What did the first record say?
Here is crystalline Tb6PmNd2Ho3 at its relaxed geometry from the Alexandria database. Energies are from PBE.

The space group is C2/m (No. 12) and the conventional cell measures 6.2022, 10.7372 and 11.8559 Å, with angles of 90.00, 100.00 and 90.00 degrees. Symmetry generates all atoms from Tb at (0.2479, 0.0000, 0.2459), Tb at (0.2482, 0.3334, 0.2461), Pm at (0.0000, 0.0000, 0.5000), Nd at (0.0000, 0.3335, 0.5000), Ho at (0.0000, 0.1666, 0.0000) and Ho at (0.0000, 0.5000, 0.0000).

Its raw total energy is -111.208 eV/cell. The value obtained for the formation enthalpy at 0 K is 0.02 eV per atom.

---

- Among the records above, which one has the lowest raw total energy?
  Rb3Ta2O5F2